# 1
DFT (PBE-GGA) results for a relaxed La2TeIr crystal.

POSCAR file:
```
La2TeIr
1.0
4.615 0.000 0.000
0.000 6.173 0.000
0.000 0.000 7.901
La Te Ir
4 2 2
direct
0.000 0.000 0.222 La
0.000 0.000 0.778 La
0.500 0.500 0.278 La
0.500 0.500 0.722 La
0.000 0.500 0.000 Te
0.500 0.000 0.500 Te
0.000 0.500 0.500 Ir
0.500 0.000 0.000 Ir
```

Summary:
* space-group type: Immm (71)
* formation energy (no corrections): -0.861 eV/atom
* energy: -50.6 eV/cell

# 2
DFT (PBE-GGA) results for a relaxed LaTe2Ir crystal.

POSCAR file:
```
LaTe2Ir
1.0
4.031 0.000 0.000
0.000 4.922 0.000
0.000 0.000 10.358
La Te Ir
2 4 2
direct
0.000 0.000 0.000 La
0.500 0.500 0.500 La
0.000 0.000 0.539 Te
0.000 0.500 0.760 Te
0.500 0.000 0.260 Te
0.500 0.500 0.039 Te
0.000 0.500 0.202 Ir
0.500 0.000 0.702 Ir
```

Summary:
* E above lowest polymorph: 1.016 eV/f.u.
* space-group type: Imm2 (44)
* formation energy (no corrections): -0.539 eV/atom
* energy: -44.5 eV/cell

# 3
DFT (PBE-GGA) results for a relaxed LaTe2Ir crystal.

POSCAR file:
```
LaTe2Ir
1.0
5.420 0.000 0.000
0.000 4.107 0.000
-1.534 0.000 6.883
La Te Ir
1 2 1
direct
0.000 0.000 0.000 La
0.317 0.500 0.756 Te
0.683 0.500 0.244 Te
0.500 0.000 0.000 Ir
```

Summary:
* E above lowest polymorph: 0.263 eV/f.u.
* space-group type: P2/m (10)
* formation energy (no corrections): -0.727 eV/atom
* energy: -23.0 eV/cell

# 4
DFT (PBE-GGA) results for a relaxed LaTe2Ir crystal.

POSCAR file:
```
LaTe2Ir
1.0
7.394 0.000 0.000
0.000 7.394 0.000
0.000 0.000 7.394
La Te Ir
4 8 4
direct
0.000 0.000 0.000 La
0.000 0.500 0.500 La
0.500 0.000 0.500 La
0.500 0.500 0.000 La
0.000 0.000 0.500 Te
0.000 0.500 0.000 Te
0.250 0.250 0.750 Te
0.250 0.750 0.250 Te
0.500 0.000 0.000 Te
0.500 0.500 0.500 Te
0.750 0.250 0.250 Te
0.750 0.750 0.750 Te
0.250 0.250 0.250 Ir
0.250 0.750 0.750 Ir
0.750 0.250 0.750 Ir
0.750 0.750 0.250 Ir
```

Summary:
* E above lowest polymorph: 2.719 eV/f.u.
* space-group type: F-43m (216)
* formation energy (no corrections): -0.113 eV/atom
* energy: -82.1 eV/cell

# 5
DFT (PBE-GGA) results for a relaxed LaTe2Ir crystal.

POSCAR file:
```
LaTe2Ir
1.0
4.318 0.000 0.000
0.000 6.659 0.000
0.000 0.000 7.489
La Te Ir
2 4 2
direct
0.000 0.000 0.000 La
0.500 0.500 0.000 La
0.000 0.500 0.291 Te
0.000 0.500 0.709 Te
0.500 0.000 0.291 Te
0.500 0.000 0.709 Te
0.000 0.000 0.500 Ir
0.500 0.500 0.500 Ir
```

Summary:
* E above lowest polymorph: 1.873 eV/f.u.
* space-group type: Cmmm (65)
* formation energy (no corrections): -0.325 eV/atom
* energy: -42.7 eV/cell

# 6
DFT (PBE-GGA) results for a relaxed La2TeIr crystal.

POSCAR file:
```
La2TeIr
1.0
7.368 0.000 0.000
0.000 7.368 0.000
0.000 0.000 7.368
La Te Ir
8 4 4
direct
0.000 0.000 0.000 La
0.000 0.500 0.500 La
0.250 0.250 0.250 La
0.250 0.750 0.750 La
0.500 0.000 0.500 La
0.500 0.500 0.000 La
0.750 0.250 0.750 La
0.750 0.750 0.250 La
0.250 0.250 0.750 Te
0.250 0.750 0.250 Te
0.750 0.250 0.250 Te
0.750 0.750 0.750 Te
0.000 0.000 0.500 Ir
0.000 0.500 0.000 Ir
0.500 0.000 0.000 Ir
0.500 0.500 0.500 Ir
```

Summary:
* space-group type: F-43m (216)
* formation energy (no corrections): -0.320 eV/atom
* energy: -92.6 eV/cell

# 7
DFT (PBE-GGA) results for a relaxed La3TeIr crystal.

POSCAR file:
```
La3TeIr
1.0
5.604 0.000 0.000
0.000 5.604 0.000
0.000 0.000 5.604
La Te Ir
3 1 1
direct
0.000 0.000 0.500 La
0.000 0.500 0.000 La
0.500 0.000 0.000 La
0.500 0.500 0.500 Te
0.000 0.000 0.000 Ir
```

Summary:
* E above lowest polymorph: 0.000 eV/f.u.
* space-group type: Pm-3m (221)
* formation energy (no corrections): -0.710 eV/atom
* energy: -30.3 eV/cell

# 8
DFT (PBE-GGA) results for a relaxed La2TeIr crystal.

POSCAR file:
```
La2TeIr
1.0
3.738 0.000 0.000
0.000 3.738 0.000
0.000 0.000 7.725
La Te Ir
2 1 1
direct
0.000 0.000 0.221 La
0.000 0.000 0.779 La
0.500 0.500 0.500 Te
0.500 0.500 0.000 Ir
```

Summary:
* space-group type: P4/mmm (123)
* formation energy (no corrections): -0.983 eV/atom
* energy: -25.8 eV/cell

# 9
DFT (PBE-GGA) results for a relaxed La2TeIr crystal.

POSCAR file:
```
La2TeIr
1.0
3.896 0.000 0.000
0.000 4.048 0.000
0.000 0.000 15.382
La Te Ir
4 2 2
direct
0.000 0.000 0.000 La
0.000 0.500 0.217 La
0.500 0.000 0.717 La
0.500 0.500 0.500 La
0.000 0.000 0.390 Te
0.500 0.500 0.890 Te
0.000 0.500 0.640 Ir
0.500 0.000 0.140 Ir
```

Summary:
* space-group type: Imm2 (44)
* formation energy (no corrections): -0.958 eV/atom
* energy: -51.4 eV/cell

# 10
DFT (PBE-GGA) results for a relaxed LaTeIr crystal.

POSCAR file:
```
LaTeIr
1.0
4.546 0.000 0.000
-2.273 3.937 0.000
0.000 0.000 4.162
La Te Ir
1 1 1
direct
0.000 0.000 0.000 La
0.667 0.333 0.492 Te
0.333 0.667 0.564 Ir
```

Summary:
* space-group type: P3m1 (156)
* formation energy (no corrections): -0.943 eV/atom
* energy: -19.8 eV/cell

# 11
DFT (PBE-GGA) results for a relaxed LaTe2Ir crystal.

POSCAR file:
```
LaTe2Ir
1.0
8.077 0.000 0.000
0.000 8.077 0.000
0.000 0.000 6.575
La Te Ir
4 8 4
direct
0.000 0.000 0.000 La
0.000 0.500 0.250 La
0.500 0.000 0.750 La
0.500 0.500 0.500 La
0.176 0.250 0.625 Te
0.250 0.676 0.875 Te
0.250 0.824 0.375 Te
0.324 0.250 0.125 Te
0.676 0.750 0.125 Te
0.750 0.176 0.375 Te
0.750 0.324 0.875 Te
0.824 0.750 0.625 Te
0.000 0.000 0.500 Ir
0.000 0.500 0.750 Ir
0.500 0.000 0.250 Ir
0.500 0.500 0.000 Ir
```

Summary:
* E above lowest polymorph: 0.127 eV/f.u.
* space-group type: I-42d (122)
* formation energy (no corrections): -0.761 eV/atom
* energy: -92.5 eV/cell

# 12
DFT (PBE-GGA) results for a relaxed LaTe2Ir crystal.

POSCAR file:
```
LaTe2Ir
1.0
7.329 0.000 0.000
0.000 7.329 0.000
0.000 0.000 7.329
La Te Ir
4 8 4
direct
0.000 0.000 0.000 La
0.000 0.500 0.500 La
0.500 0.000 0.500 La
0.500 0.500 0.000 La
0.250 0.250 0.250 Te
0.250 0.250 0.750 Te
0.250 0.750 0.250 Te
0.250 0.750 0.750 Te
0.750 0.250 0.250 Te
0.750 0.250 0.750 Te
0.750 0.750 0.250 Te
0.750 0.750 0.750 Te
0.000 0.000 0.500 Ir
0.000 0.500 0.000 Ir
0.500 0.000 0.000 Ir
0.500 0.500 0.500 Ir
```

Summary:
* E above lowest polymorph: 2.092 eV/f.u.
* space-group type: Fm-3m (225)
* formation energy (no corrections): -0.270 eV/atom
* energy: -84.6 eV/cell